{"formula": "AgBiTe3Pb", "functional": "PBE", "state": "optimized geometry", "e_above_lowest_polymorph_kj_per_mol_atoms": 1.5, "cell": [[4.4867, 0.0000, 0.0000], [0.0000, 6.3473, 0.0000], [0.0000, 0.0000, 13.3655]], "species": ["Ag", "Ag", "Bi", "Bi", "Te", "Te", "Te", "Te", "Te", "Te", "Pb", "Pb"], "frac_coords": [[0.0000, 0.0000, 0.0000], [0.5000, 0.5000, 0.5000], [0.0000, 0.0000, 0.6750], [0.5000, 0.5000, 0.1750], [0.0000, 0.5000, 0.0118], [0.0000, 0.5000, 0.3463], [0.0000, 0.5000, 0.6562], [0.5000, 0.0000, 0.1562], [0.5000, 0.0000, 0.5118], [0.5000, 0.0000, 0.8463], [0.0000, 0.0000, 0.3286], [0.5000, 0.5000, 0.8286]]}

{"formula": "TlAgBiPb", "functional": "PBE", "state": "optimized geometry", "e_form_ev_per_atom": 0.13, "e_above_lowest_polymorph_kj_per_mol_atoms": 8.9, "cell": [[7.6813, 0.0000, 0.0000], [0.0000, 7.6813, 0.0000], [0.0000, 0.0000, 7.6813]], "species": ["Tl", "Tl", "Tl", "Tl", "Ag", "Ag", "Ag", "Ag", "Bi", "Bi", "Bi", "Bi", "Pb", "Pb", "Pb", "Pb"], "frac_coords": [[0.0000, 0.0000, 0.0000], [0.0000, 0.5000, 0.5000], [0.5000, 0.0000, 0.5000], [0.5000, 0.5000, 0.0000], [0.2500, 0.2500, 0.2500], [0.2500, 0.7500, 0.7500], [0.7500, 0.2500, 0.7500], [0.7500, 0.7500, 0.2500], [0.0000, 0.0000, 0.5000], [0.0000, 0.5000, 0.0000], [0.5000, 0.0000, 0.0000], [0.5000, 0.5000, 0.5000], [0.2500, 0.2500, 0.7500], [0.2500, 0.7500, 0.2500], [0.7500, 0.2500, 0.2500], [0.7500, 0.7500, 0.7500]]}

{"formula": "TlAgBiPb2", "functional": "PBE", "state": "optimized geometry", "e_form_ev_per_atom": 0.71, "cell": [[6.0244, 0.0000, 0.0000], [0.0000, 6.0244, 0.0000], [0.0000, 0.0000, 6.1522]], "species": ["Tl", "Ag", "Bi", "Pb", "Pb"], "frac_coords": [[0.0000, 0.0000, 0.0000], [0.5000, 0.5000, 0.0000], [0.0000, 0.0000, 0.5000], [0.0000, 0.5000, 0.5000], [0.5000, 0.0000, 0.5000]]}

{"formula": "TlAgBiPb", "functional": "PBE", "state": "optimized geometry", "e_form_ev_per_atom": 0.03, "e_above_lowest_polymorph_kj_per_mol_atoms": 0.0, "cell": [[3.5618, 0.0000, 0.0000], [0.0000, 3.5618, 0.0000], [0.0000, 0.0000, 8.8524]], "species": ["Tl", "Ag", "Bi", "Pb"], "frac_coords": [[0.0000, 0.0000, 0.0000], [0.0000, 0.0000, 0.4941], [0.5000, 0.5000, 0.2809], [0.5000, 0.5000, 0.7063]]}

{"formula": "Ag6BiPd2", "functional": "PBE", "state": "optimized geometry", "e_form_ev_per_atom": 0.10, "cell": [[7.3085, -4.0139, 0.0000], [7.3085, 4.0139, 0.0000], [-0.5967, 0.0000, 2.9260]], "species": ["Ag", "Ag", "Ag", "Ag", "Ag", "Ag", "Bi", "Pd", "Pd"], "frac_coords": [[0.1433, 0.5042, 0.8230], [0.1660, 0.8340, 0.0000], [0.4958, 0.8567, 0.1770], [0.5042, 0.1433, 0.8230], [0.8340, 0.1660, 0.0000], [0.8567, 0.4958, 0.1770], [0.5000, 0.5000, 0.5000], [0.1505, 0.1505, 0.6484], [0.8495, 0.8495, 0.3516]]}

{"formula": "AgBi2Pd", "functional": "PBE", "state": "optimized geometry", "e_form_ev_per_atom": 0.10, "cell": [[7.9371, 0.0000, 0.0000], [0.0000, 7.9371, 0.0000], [0.0000, 0.0000, 6.3660]], "species": ["Ag", "Ag", "Ag", "Ag", "Bi", "Bi", "Bi", "Bi", "Bi", "Bi", "Bi", "Bi", "Pd", "Pd", "Pd", "Pd"], "frac_coords": [[0.0000, 0.0000, 0.0000], [0.0000, 0.5000, 0.2500], [0.5000, 0.0000, 0.7500], [0.5000, 0.5000, 0.5000], [0.2236, 0.2500, 0.6250], [0.2500, 0.7236, 0.8750], [0.2500, 0.7764, 0.3750], [0.2764, 0.2500, 0.1250], [0.7236, 0.7500, 0.1250], [0.7500, 0.2236, 0.3750], [0.7500, 0.2764, 0.8750], [0.7764, 0.7500, 0.6250], [0.0000, 0.0000, 0.5000], [0.0000, 0.5000, 0.7500], [0.5000, 0.0000, 0.2500], [0.5000, 0.5000, 0.0000]]}

Number 1: density 7.91 Mg/m³. Number 2: density 10.68 Mg/m³. Number 3: density 6.96 Mg/m³. Number 4: density 10.77 Mg/m³. Number 5: density 10.34 Mg/m³. Number 6: density 10.47 Mg/m³.